{"formula": "Na5ThO4", "functional": "PBE", "state": "relaxed", "m_tot_mub_per_fu": 0.0, "relative_energy_ev_per_atom": 0.047, "raw_formation_energy_ev_per_atom": -1.858, "cell": [[9.3036, -1.7824, 0.0000], [9.3036, 1.7824, 0.0000], [-1.6140, 0.0000, 5.8168]], "species": ["Na", "Na", "Na", "Na", "Na", "Th", "O", "O", "O", "O"], "fractional_positions": [[0.0000, 0.0000, 0.0000], [0.3378, 0.3378, 0.3570], [0.3700, 0.3700, 0.9252], [0.6300, 0.6300, 0.0748], [0.6622, 0.6622, 0.6430], [0.0000, 0.0000, 0.5000], [0.1027, 0.1027, 0.8079], [0.4505, 0.4505, 0.6777], [0.5495, 0.5495, 0.3223], [0.8973, 0.8973, 0.1921]]}